Entry 1:
LiTi2SbSe: relaxed, PBE.

Unit cell a=4.7894 b=4.7894 c=4.3901 alpha=90.00 beta=90.00 gamma=90.00
With the nearest neighbours (Å) after each atom.
Fractional coordinates of all 5 atoms:
Li 0.0000 0.0000 0.0000  2 Se 2.20
Ti 0.0000 0.5000 0.5000  2 Se 2.39
Ti 0.5000 0.0000 0.5000  2 Se 2.39
Sb 0.5000 0.5000 0.0000  8 Ti 3.25, 4 Li 3.39
Se 0.0000 0.0000 0.5000  2 Li 2.20, 4 Ti 2.39

---

Entry 2:
LiTl2Sb2Se6: relaxed, PBE.

Unit cell a=7.0507 b=7.0507 c=7.4500 alpha=99.49 beta=99.49 gamma=120.44
With the nearest neighbours (Å) after each atom.
Fractional coordinates of all 11 atoms:
Li 0.0000 0.0000 0.0000  6 Se 2.81-2.82
Tl 0.1633 0.8367 0.5000  6 Se 3.02-3.08
Tl 0.8367 0.1633 0.5000  6 Se 3.02-3.08
Sb 0.3289 0.6711 0.0000  6 Se 2.80-2.85
Sb 0.6711 0.3289 0.0000  6 Se 2.80-2.85
Se 0.0788 0.4096 0.2240  2 Sb 2.80-2.83, 1 Li 2.81, 2 Tl 3.06-3.08
Se 0.2579 0.2579 0.7793  1 Li 2.82, 2 Sb 2.85, 2 Tl 3.02
Se 0.4096 0.0788 0.2240  2 Sb 2.80-2.83, 1 Li 2.81, 2 Tl 3.06-3.08
Se 0.5904 0.9212 0.7760  2 Sb 2.80-2.83, 1 Li 2.81, 2 Tl 3.06-3.08
Se 0.7421 0.7421 0.2207  1 Li 2.82, 2 Sb 2.85, 2 Tl 3.02
Se 0.9212 0.5904 0.7760  2 Sb 2.80-2.83, 1 Li 2.81, 2 Tl 3.06-3.08

---

Entry 3:
LiTlSbSe3: relaxed, PBE.

Unit cell a=8.8110 b=4.0543 c=9.3300 alpha=90.00 beta=105.99 gamma=90.00
With the nearest neighbours (Å) after each atom.
Fractional coordinates of all 12 atoms:
Li 0.0762 0.2500 0.0962  4 Se 2.54-2.62, 2 Li 2.79
Li 0.9238 0.7500 0.9038  4 Se 2.54-2.62, 2 Li 2.79
Tl 0.2131 0.2500 0.7718  7 Se 3.21-3.53, 1 Li 3.55
Tl 0.7869 0.7500 0.2282  7 Se 3.21-3.53, 1 Li 3.55
Sb 0.3225 0.7500 0.3492  6 Se 2.76-2.86
Sb 0.6775 0.2500 0.6508  6 Se 2.76-2.86
Se 0.1135 0.2500 0.3781  1 Li 2.56, 2 Sb 2.80
Se 0.2258 0.7500 0.0417  3 Li 2.54-2.62, 1 Sb 2.76
Se 0.4530 0.7500 0.6656  3 Sb 2.86
Se 0.5470 0.2500 0.3344  3 Sb 2.86
Se 0.7742 0.2500 0.9583  3 Li 2.54-2.62, 1 Sb 2.76
Se 0.8865 0.7500 0.6219  1 Li 2.56, 2 Sb 2.80

---

Entry 4:
LiTl2SbSe4: relaxed, PBE.

Unit cell a=6.8789 b=6.8789 c=7.7225 alpha=124.14 beta=124.14 gamma=74.89
With the nearest neighbours (Å) after each atom.
Fractional coordinates of all 8 atoms:
Li 0.0000 0.0000 0.0000  4 Se 2.54
Tl 0.5010 0.4990 0.0000  4 Se 3.25-3.26
Tl 0.7507 0.2493 0.5000  8 Se 3.54-3.64
Sb 0.2504 0.7496 0.5000  4 Se 2.53
Se 0.1859 0.3603 0.1151  1 Sb 2.53, 1 Li 2.54
Se 0.2463 0.0697 0.4308  1 Sb 2.53, 1 Li 2.54
Se 0.6397 0.8141 0.8849  1 Sb 2.53, 1 Li 2.54
Se 0.9303 0.7537 0.5692  1 Sb 2.53, 1 Li 2.54

---

Entry 5:
Li4Tm3SbSe8: relaxed, PBE.

Unit cell a=7.9940 b=7.9940 c=7.9940 alpha=60.70 beta=60.70 gamma=60.70
With the nearest neighbours (Å) after each atom.
Fractional coordinates of all 16 atoms:
Li 0.0000 0.0000 0.0000  6 Se 2.82
Li 0.0000 0.5000 0.5000  6 Se 2.84
Li 0.5000 0.0000 0.5000  6 Se 2.84
Li 0.5000 0.5000 0.0000  6 Se 2.84
Tm 0.0000 0.0000 0.5000  6 Se 2.84
Tm 0.0000 0.5000 0.0000  6 Se 2.84
Tm 0.5000 0.0000 0.0000  6 Se 2.84
Sb 0.5000 0.5000 0.5000  6 Se 2.87
Se 0.2477 0.2477 0.7523  3 Li 2.82-2.84, 2 Tm 2.84, 1 Sb 2.87
Se 0.2477 0.7523 0.2477  3 Li 2.82-2.84, 2 Tm 2.84, 1 Sb 2.87
Se 0.2477 0.7523 0.7523  3 Li 2.82-2.84, 2 Tm 2.84, 1 Sb 2.87
Se 0.2498 0.2498 0.2498  3 Tm 2.84, 3 Li 2.84
Se 0.7502 0.7502 0.7502  3 Tm 2.84, 3 Li 2.84
Se 0.7523 0.2477 0.2477  3 Li 2.82-2.84, 2 Tm 2.84, 1 Sb 2.87
Se 0.7523 0.2477 0.7523  3 Li 2.82-2.84, 2 Tm 2.84, 1 Sb 2.87
Se 0.7523 0.7523 0.2477  3 Li 2.82-2.84, 2 Tm 2.84, 1 Sb 2.87

---

Entry 6:
Li2USbSe4: relaxed, PBE.

Unit cell a=6.9006 b=4.1019 c=7.1705 alpha=90.00 beta=110.08 gamma=90.00
With the nearest neighbours (Å) after each atom.
Fractional coordinates of all 8 atoms:
Li 0.0000 0.0000 0.0000  6 Se 2.85-2.86
Li 0.0000 0.5000 0.5000  6 Se 2.85
U 0.5000 0.0000 0.5000  6 Se 2.91
Sb 0.5000 0.5000 0.0000  6 Se 2.91-2.92
Se 0.2421 0.0000 0.7466  3 Li 2.85-2.86, 2 Sb 2.91, 1 U 2.91
Se 0.2417 0.5000 0.2477  3 Li 2.85, 2 U 2.91, 1 Sb 2.92
Se 0.7579 0.0000 0.2534  3 Li 2.85-2.86, 2 Sb 2.91, 1 U 2.91
Se 0.7583 0.5000 0.7523  3 Li 2.85, 2 U 2.91, 1 Sb 2.92

---

Entry 7:
Li3U3SbSe8: relaxed, PBE.

Unit cell a=8.0469 b=8.0469 c=8.0469 alpha=60.96 beta=60.96 gamma=60.96
With the nearest neighbours (Å) after each atom.
Fractional coordinates of all 15 atoms:
Li 0.0000 0.5000 0.5000  6 Se 2.83-2.86
Li 0.5000 0.0000 0.5000  6 Se 2.83-2.86
Li 0.5000 0.5000 0.0000  6 Se 2.83-2.86
U 0.0000 0.0000 0.5000  6 Se 2.87-2.90
U 0.0000 0.5000 0.0000  6 Se 2.87-2.90
U 0.5000 0.0000 0.0000  6 Se 2.87-2.90
Sb 0.5000 0.5000 0.5000  6 Se 2.89
Se 0.2482 0.2482 0.7504  2 Li 2.86, 2 U 2.87, 1 Sb 2.89
Se 0.2482 0.7504 0.2482  2 Li 2.86, 2 U 2.87, 1 Sb 2.89
Se 0.2496 0.7518 0.7518  2 Li 2.86, 2 U 2.87, 1 Sb 2.89
Se 0.2531 0.2531 0.2531  3 Li 2.83, 3 U 2.90
Se 0.7469 0.7469 0.7469  3 Li 2.83, 3 U 2.90
Se 0.7504 0.2482 0.2482  2 Li 2.86, 2 U 2.87, 1 Sb 2.89
Se 0.7518 0.2496 0.7518  2 Li 2.86, 2 U 2.87, 1 Sb 2.89
Se 0.7518 0.7518 0.2496  2 Li 2.86, 2 U 2.87, 1 Sb 2.89

---

Entry 8:
Li2YSbSe4: relaxed, PBE.

Unit cell a=6.9220 b=4.0703 c=7.0894 alpha=90.00 beta=109.92 gamma=90.00
With the nearest neighbours (Å) after each atom.
Fractional coordinates of all 8 atoms:
Li 0.0000 0.0000 0.0000  6 Se 2.85
Li 0.0000 0.5000 0.5000  6 Se 2.83-2.86
Y 0.5000 0.0000 0.5000  6 Se 2.88-2.89
Sb 0.5000 0.5000 0.0000  6 Se 2.88-2.89
Se 0.2431 0.0000 0.7465  3 Li 2.83-2.85, 1 Y 2.89, 2 Sb 2.89
Se 0.2464 0.5000 0.2483  3 Li 2.85-2.86, 2 Y 2.88, 1 Sb 2.88
Se 0.7536 0.5000 0.7517  3 Li 2.85-2.86, 2 Y 2.88, 1 Sb 2.88
Se 0.7569 0.0000 0.2535  3 Li 2.83-2.85, 1 Y 2.89, 2 Sb 2.89

---

Entry 9:
Li2ZnSbSe: relaxed, PBE.

Unit cell a=5.3859 b=5.3859 c=5.4080 alpha=90.00 beta=90.00 gamma=90.00
With the nearest neighbours (Å) after each atom.
Fractional coordinates of all 5 atoms:
Li 0.0000 0.5000 0.0000  2 Sb 2.69
Li 0.5000 0.0000 0.0000  2 Sb 2.69
Zn 0.0000 0.0000 0.5000  4 Se 3.81, 8 Li 3.82
Sb 0.5000 0.5000 0.0000  4 Li 2.69, 2 Se 2.70
Se 0.5000 0.5000 0.5000  2 Sb 2.70

---

Entry 10:
LiZrSb2Se: relaxed, PBE.

Unit cell a=5.4757 b=5.4757 c=5.7033 alpha=90.00 beta=90.00 gamma=90.00
With the nearest neighbours (Å) after each atom.
Fractional coordinates of all 5 atoms:
Li 0.0000 0.0000 0.0000  2 Zr 2.85
Zr 0.0000 0.0000 0.5000  4 Sb 2.74, 2 Li 2.85
Sb 0.0000 0.5000 0.5000  2 Zr 2.74
Sb 0.5000 0.0000 0.5000  2 Zr 2.74
Se 0.5000 0.5000 0.0000  4 Li 3.87, 8 Sb 3.95

---

Entry 11:
LiSiSb2: relaxed, PBE.

Unit cell a=3.2851 b=3.2851 c=8.0359 alpha=90.00 beta=90.00 gamma=90.00
With the nearest neighbours (Å) after each atom.
Fractional coordinates of all 4 atoms:
Li 0.0000 0.0000 0.0000  8 Sb 3.10, 4 Li 3.29
Si 0.0000 0.0000 0.5000  8 Sb 3.04, 4 Si 3.29
Sb 0.5000 0.5000 0.2560  4 Si 3.04, 4 Li 3.10, 4 Sb 3.29
Sb 0.5000 0.5000 0.7440  4 Si 3.04, 4 Li 3.10, 4 Sb 3.29

---

Entry 12:
LiSiSb2: relaxed, PBE.

Unit cell a=3.7281 b=3.7770 c=6.3375 alpha=90.00 beta=90.00 gamma=90.00
With the nearest neighbours (Å) after each atom.
Fractional coordinates of all 4 atoms:
Li 0.0000 0.0000 0.0000  8 Sb 3.13, 2 Si 3.17
Si 0.0000 0.0000 0.5000  8 Sb 3.06, 2 Li 3.17
Sb 0.5000 0.5000 0.2610  2 Sb 3.03-3.31, 4 Si 3.06, 4 Li 3.13
Sb 0.5000 0.5000 0.7390  2 Sb 3.03-3.31, 4 Si 3.06, 4 Li 3.13

---

Entry 13:
LiSiSb2: relaxed, PBE.

Unit cell a=5.4235 b=5.4235 c=5.4235 alpha=137.80 beta=121.75 gamma=74.51
With the nearest neighbours (Å) after each atom.
Fractional coordinates of all 4 atoms:
Li 0.0000 0.0000 0.0000  4 Sb 2.98, 4 Si 3.28
Si 0.5000 0.5000 0.0000  4 Sb 2.85
Sb 0.2602 0.7602 0.5000  2 Si 2.85, 2 Li 2.98
Sb 0.7398 0.2398 0.5000  2 Si 2.85, 2 Li 2.98

---

Entry 14:
LiSiSb: relaxed, PBE.

Unit cell a=3.9109 b=3.9109 c=5.4256 alpha=90.00 beta=90.00 gamma=120.00
With the nearest neighbours (Å) after each atom.
Fractional coordinates of all 3 atoms:
Li 0.0000 0.0000 0.0000  3 Si 2.88, 3 Sb 3.20
Si 0.3333 0.6667 0.6700  3 Sb 2.64, 3 Li 2.88
Sb 0.6667 0.3333 0.4173  3 Si 2.64

---

Entry 15:
Li2Si2Sb: relaxed, PBE.

Unit cell a=6.3685 b=6.3685 c=6.3685 alpha=142.85 beta=142.85 gamma=53.54
With the nearest neighbours (Å) after each atom.
Fractional coordinates of all 5 atoms:
Li 0.2500 0.7500 0.5000  4 Si 2.65, 4 Li 2.87
Li 0.7500 0.2500 0.5000  4 Si 2.65, 4 Li 2.87
Si 0.0999 0.0999 0.0000  1 Si 2.27
Si 0.9001 0.9001 0.0000  1 Si 2.27
Sb 0.5000 0.5000 0.0000  8 Si 3.09

---

Entry 16:
LiSiSb: relaxed, PBE.

Unit cell a=4.8274 b=4.8274 c=3.0670 alpha=90.00 beta=90.00 gamma=120.00
With the nearest neighbours (Å) after each atom.
Fractional coordinates of all 3 atoms:
Li 0.0000 0.0000 0.0000  2 Li 3.07, 6 Sb 3.18, 6 Si 3.18
Si 0.3333 0.6667 0.5000  3 Sb 2.79, 2 Si 3.07
Sb 0.6667 0.3333 0.5000  3 Si 2.79, 2 Sb 3.07

---

Entry 17:
LiSiSb2: relaxed, PBE.

Unit cell a=7.1446 b=7.1446 c=7.1446 alpha=125.87 beta=125.87 gamma=80.10
With the nearest neighbours (Å) after each atom.
Fractional coordinates of all 8 atoms:
Li 0.0000 0.0000 0.0000  4 Sb 2.75
Li 0.7500 0.2500 0.5000  4 Sb 2.75
Si 0.2500 0.7500 0.5000  4 Sb 2.60
Si 0.5000 0.5000 0.0000  4 Sb 2.60
Sb 0.1433 0.6250 0.0183  2 Si 2.60, 2 Li 2.75
Sb 0.3750 0.3933 0.5183  2 Si 2.60, 2 Li 2.75
Sb 0.6067 0.1250 0.9817  2 Si 2.60, 2 Li 2.75
Sb 0.8750 0.8567 0.4817  2 Si 2.60, 2 Li 2.75

---

Entry 18:
LiSiSb2: relaxed, PBE.

Unit cell a=3.7472 b=3.7472 c=7.9525 alpha=103.62 beta=103.62 gamma=60.14
With the nearest neighbours (Å) after each atom.
Fractional coordinates of all 4 atoms:
Li 0.0000 0.0000 0.0000  6 Sb 3.03-3.04
Si 0.5000 0.5000 0.5000  6 Sb 2.75
Sb 0.2396 0.2396 0.7214  3 Si 2.75, 3 Li 3.03-3.04
Sb 0.7604 0.7604 0.2786  3 Si 2.75, 3 Li 3.03-3.04

---

Entry 19:
LiSiSb2: relaxed, PBE.

Unit cell a=5.6289 b=5.6289 c=4.4715 alpha=90.92 beta=90.92 gamma=39.93
With the nearest neighbours (Å) after each atom.
Fractional coordinates of all 4 atoms:
Li 0.0000 0.0000 0.0000  2 Si 2.69-3.01, 3 Sb 2.97-3.01
Si 0.8332 0.8332 0.4475  2 Li 2.69-3.01, 3 Sb 2.73-2.80
Sb 0.2730 0.2730 0.8535  2 Si 2.73, 1 Li 2.97
Sb 0.5709 0.5709 0.5132  1 Si 2.80, 4 Li 3.01-3.08

---

Entry 20:
LiSiSb2: relaxed, PBE.

Unit cell a=5.0598 b=5.0598 c=5.0598 alpha=60.00 beta=60.00 gamma=60.00
With the nearest neighbours (Å) after each atom.
Fractional coordinates of all 4 atoms:
Li 0.0000 0.0000 0.0000  4 Sb 3.10, 4 Si 3.10
Si 0.2500 0.2500 0.2500  4 Sb 3.10, 4 Li 3.10
Sb 0.5000 0.5000 0.5000  4 Si 3.10, 4 Sb 3.10
Sb 0.7500 0.7500 0.7500  4 Sb 3.10, 4 Li 3.10

---

Listing formation energy without anion corrections for the structures above in their given order: -0.287, -0.350, -0.481, -0.445, -1.426, -0.880, -1.023, -1.167, 0.048, 0.556, 0.129, 0.125, 0.135, -0.018, 0.051, 0.084, 0.053, 0.013, 0.072, 0.274 eV per atom.
Listing E_tot for the structures above in their given order: -5.349, -3.605, -3.623, -3.534, -4.743, -5.027, -5.797, -4.711, -2.494, -3.883, -3.767, -3.771, -3.761, -3.837, -3.708, -3.736, -3.842, -3.882, -3.824, -3.622 eV/atom.